1.
SrBr2Cl PBE-GGA relaxed; D(E_F) = 0.880 states/eV per atom; V = 112.6 Å³ per cell; energy relative to the elements, uncorrected = -1.33 eV/atom; distance to the lowest polymorph of the same formula = 0.211 eV/atom
1.0
5.6357 0.0273 0.0000
0.9957 5.5471 0.0000
-3.3157 -2.7872 3.6055
Sr Br Cl
1 2 1
Cartesian
2.8179 0.0136 1.8028
0.4978 2.7736 1.8028
0.0000 0.0000 0.0000
3.3157 2.7872 0.0000

2.
SrBr2Cl PBE-GGA relaxed; D(E_F) = 0.363 states/eV per atom; V = 125.1 Å³ per cell; energy relative to the elements, uncorrected = -1.44 eV/atom; distance to the lowest polymorph of the same formula = 0.101 eV/atom
1.0
4.7152 0.0000 0.0000
0.0000 4.7147 0.0000
0.0000 0.0000 5.6283
Br Sr Cl
2 1 1
Cartesian
0.0000 0.0000 5.6224
0.0000 0.0000 2.8200
2.3576 2.3574 4.2212
2.3576 2.3574 1.4071

3.
Sr2Br3Cl PBE-GGA relaxed; D(E_F) = 0.000 states/eV per atom; V = 439.1 Å³ per cell; energy relative to the elements, uncorrected = -2.21 eV/atom; distance to the lowest polymorph of the same formula = 0.000 eV/atom
1.0
-0.8495 -3.6625 -2.9213
0.1706 -7.3594 5.2968
-10.5096 -3.2274 3.2222
Sr Cl Br
4 2 6
Cartesian
-6.5245 -5.5559 1.1027
-1.8408 -5.0761 3.0191
-9.3477 -9.1732 2.5786
-4.6640 -8.6933 4.4950
-7.1575 -7.3122 3.4886
-4.0309 -6.9370 2.1091
-4.2746 -3.3424 1.5534
-6.9138 -10.9068 4.0443
-7.9893 -3.6572 3.0283
-3.1991 -10.5920 2.5694
-0.3416 -3.5997 0.7323
-10.8469 -10.6495 4.8654

4.
SrBrCl3 PBE-GGA relaxed; D(E_F) = 0.354 states/eV per atom; V = 162.9 Å³ per cell; energy relative to the elements, uncorrected = -0.73 eV/atom; distance to the lowest polymorph of the same formula = 0.645 eV/atom
1.0
-3.3670 3.6523 -2.2709
0.5484 -2.4959 -4.8272
-4.2656 -3.2037 1.1719
Cl Br Sr
3 1 1
Cartesian
0.2742 -1.2480 -2.4136
-1.6835 1.8261 -1.1355
-2.1328 -1.6019 0.5860
0.0000 0.0000 0.0000
-3.5421 -1.0237 -2.9631

5.
SrBr2Cl PBE-GGA relaxed; D(E_F) = 1.201 states/eV per atom; V = 149.9 Å³ per cell; energy relative to the elements, uncorrected = -1.33 eV/atom; distance to the lowest polymorph of the same formula = 0.209 eV/atom
1.0
3.7131 0.0218 0.0000
-0.0214 3.7131 0.0000
0.0000 0.0000 10.8752
Br Cl Sr
2 1 1
Cartesian
0.0000 0.0000 9.8579
1.8458 1.8675 2.8020
0.0000 0.0000 6.4966
1.8458 1.8675 8.0315

6.
SrBrCl3 PBE-GGA relaxed; D(E_F) = 0.000 states/eV per atom; V = 697.8 Å³ per cell; energy relative to the elements, uncorrected = -1.38 eV/atom; distance to the lowest polymorph of the same formula = 0.000 eV/atom
1.0
-4.6892 5.0623 5.1951
-0.8411 -6.3574 5.4357
6.3834 4.5548 6.3149
Sr Cl Br
4 12 4
Cartesian
-1.2757 3.9027 6.0902
4.0630 2.1555 7.9271
2.1288 -0.6429 10.8554
-3.2099 1.1043 9.0186
-4.1130 2.3603 6.4835
4.9660 0.8995 10.4622
-1.9989 3.7588 8.9280
-0.7138 0.0685 10.8297
2.8519 -0.4991 8.0176
1.5669 3.1912 6.1159
3.7433 5.0609 8.1577
0.5286 -0.0632 7.0062
0.3244 3.3230 9.9395
-0.1665 1.2063 1.8828
1.0196 2.0534 15.0628
-2.8903 -1.8011 8.7880
-1.5073 0.6184 6.2466
2.3603 2.6413 10.6991
4.3533 2.8157 4.7108
-3.5003 0.4441 12.2348

7.
SrBrCl3 PBE-GGA relaxed; D(E_F) = 1.641 states/eV per atom; V = 187.0 Å³ per cell; energy relative to the elements, uncorrected = -1.02 eV/atom; distance to the lowest polymorph of the same formula = 0.353 eV/atom
1.0
-1.8687 5.1402 1.6709
-5.2280 -1.2702 -1.9392
-1.3719 -2.1612 5.1140
Cl Br Sr
3 1 1
Cartesian
-2.6140 -0.6351 -0.9696
-0.9344 2.5701 0.8355
-0.6859 -1.0806 2.5570
-4.2343 0.8544 2.4229
0.0000 0.0000 0.0000

8.
Sr2Br3Cl6 PBE-GGA relaxed; D(E_F) = 0.098 states/eV per atom; V = 839.4 Å³ per cell; energy relative to the elements, uncorrected = -1.20 eV/atom
1.0
2.2065 2.2549 8.3428
0.2866 -5.4643 6.1690
14.2710 -0.3723 1.0943
Sr Br Cl
4 6 12
Cartesian
7.3971 -3.2617 5.8846
1.1825 -4.0845 7.7505
15.5817 0.5028 7.8556
9.3670 -0.3199 9.7215
11.5201 -5.0816 6.6380
4.8080 -1.5842 5.1491
11.7500 -0.6488 6.0498
11.9561 -1.9974 10.4570
5.2440 1.5000 8.9681
5.0141 -2.9328 9.5563
8.9648 -5.5889 6.7761
14.1991 -1.8093 9.1381
9.6543 -1.4595 6.9279
2.8699 -3.7931 10.2511
7.7993 2.0073 8.8300
2.5650 -1.7724 6.4680
9.5684 -2.4545 11.6755
2.6418 0.8237 9.3755
13.8942 0.2115 5.3550
14.1223 -4.4054 6.2306
7.1099 -2.1221 8.6782
7.1957 -1.1272 3.9306

9.
SrTcBrCl6 PBE-GGA relaxed; D(E_F) = 1.651 states/eV per atom; V = 342.3 Å³ per cell; energy relative to the elements, uncorrected = -1.06 eV/atom
1.0
7.0327 -0.0007 0.0006
3.5157 6.0902 -0.0014
0.0008 -0.0023 7.9917
Tc Cl Sr Br
1 6 1 1
Cartesian
3.5165 2.0286 3.9956
1.5860 2.0437 2.5991
2.5643 0.3498 5.3918
2.5380 3.6931 5.3914
4.4685 0.3493 2.5996
5.4465 2.0440 5.3919
4.4945 3.6925 2.5990
7.0327 4.0586 3.9952
3.5167 6.0879 7.9902

10.
SrTlBr2Cl PBE-GGA relaxed; D(E_F) = 0.000 states/eV per atom; V = 201.3 Å³ per cell; energy relative to the elements, uncorrected = -1.62 eV/atom
1.0
-5.1063 2.9878 0.9456
-1.7640 -1.2461 -5.5885
-2.4248 -4.7194 1.8177
Br Cl Sr Tl
2 1 1 1
Cartesian
-2.5532 1.4939 0.4728
-0.8820 -0.6230 -2.7943
-1.2124 -2.3597 0.9088
0.0000 0.0000 0.0000
-4.6476 -1.4888 -1.4126

11.
SrTl2Br2Cl2 PBE-GGA relaxed; D(E_F) = 0.000 states/eV per atom; V = 269.7 Å³ per cell; energy relative to the elements, uncorrected = -1.48 eV/atom
1.0
-1.9205 -4.1067 -3.3346
3.4041 -3.6749 2.5652
-6.8684 2.1636 6.0404
Cl Br Tl Sr
2 2 2 1
Cartesian
1.7020 -1.8375 1.2826
-0.9603 -2.0533 -1.6673
-2.1841 -0.6158 2.0162
-3.2008 -5.0023 3.2547
-4.4034 -1.2414 4.0649
-0.9815 -4.3766 1.2060
0.0000 0.0000 0.0000

12.
SrTl2BrCl4 PBE-GGA relaxed; D(E_F) = 0.597 states/eV per atom; V = 281.5 Å³ per cell; energy relative to the elements, uncorrected = -1.25 eV/atom
1.0
4.3441 0.0000 0.0000
0.0001 7.7750 2.1297
0.0001 5.4967 9.8405
Sr Tl Cl Br
1 2 4 1
Cartesian
0.0001 6.6358 5.9852
2.1721 2.7483 4.9203
0.0001 5.4967 9.8405
2.1721 8.0646 4.6465
4.3441 4.8255 3.7817
2.1721 5.2071 7.3238
0.0001 8.4461 8.1886
2.1721 3.8875 1.0649

Q: V of number 1 (SrBr2Cl)?
A: 112.6 Å³ per cell

Q: Look up the D(E_F) of the third one.
A: 0.000 states/eV per atom

Q: The lowest energy relative to the elements, uncorrected belongs to which entry?
A: Sr2Br3Cl